No. 1
This record from the Open Quantum Materials Database describes a relaxed structure of GdC8. The functional is PBE.

CIF file:
```
data_GdC8
_space_group_name_H-M_alt 'P 6/m m m'
_space_group_IT_number 191
_space_group_name_Hall '-P 6 2'
_cell_length_a 5.0053
_cell_length_b 5.0053
_cell_length_c 4.3748
_cell_angle_alpha 90.00
_cell_angle_beta 90.00
_cell_angle_gamma 120.00
loop_
_atom_site_label
_atom_site_type_symbol
_atom_site_fract_x
_atom_site_fract_y
_atom_site_fract_z
Gd1 Gd 0.0000 0.0000 0.0000
C1 C 0.1679 0.3357 0.5000
C2 C 0.3333 0.6667 0.5000
```

Values from the calculation:
As for the density: 4.43 g cm⁻³. As for the total energy: -8.690 eV per atom.

No. 2
This record from the Open Quantum Materials Database describes a relaxed structure of TlInIr. The functional is PBE.

CIF file:
```
data_TlInIr
_space_group_name_H-M_alt 'F -4 3 m'
_space_group_IT_number 216
_space_group_name_Hall 'F -4 2 3'
_cell_length_a 6.487
_cell_length_b 6.487
_cell_length_c 6.487
_cell_angle_alpha 90.00
_cell_angle_beta 90.00
_cell_angle_gamma 90.00
loop_
_atom_site_label
_atom_site_type_symbol
_atom_site_fract_x
_atom_site_fract_y
_atom_site_fract_z
Tl1 Tl 0.000 0.000 0.000
In1 In 0.000 0.000 0.500
Ir1 Ir 0.250 0.250 0.750
```

Values from the calculation:
As for the density: 12.44 g cm⁻³. As for the total energy: -4.539 eV per atom.

No. 3
This record from the Open Quantum Materials Database describes a relaxed structure of Er3In3CuNiIr. The functional is PBE.

CIF file:
```
data_Er3In3CuNiIr
_space_group_name_H-M_alt 'P -6'
_space_group_IT_number 174
_cell_length_a 7.4770
_cell_length_b 7.4770
_cell_length_c 3.8339
_cell_angle_alpha 90.00
_cell_angle_beta 90.00
_cell_angle_gamma 120.00
loop_
_space_group_symop_operation_xyz
'x,y,z'
'-x+y,-x,-z'
'-y,x-y,z'
'x,y,-z'
'-x+y,-x,z'
'-y,x-y,-z'
loop_
_atom_site_label
_atom_site_type_symbol
_atom_site_fract_x
_atom_site_fract_y
_atom_site_fract_z
Er1 Er 0.0069 0.5910 0.0000
In1 In 0.2601 0.0086 0.5000
Cu1 Cu 0.0000 0.0000 0.0000
Ni1 Ni 0.6667 0.3333 0.5000
Ir1 Ir 0.3333 0.6667 0.5000
```

Values from the calculation:
As for the density: 10.38 g cm⁻³. As for the total energy: -5.013 eV per atom.

No. 4
This record from the Open Quantum Materials Database describes a relaxed structure of Ni11Ag3. The functional is PBE.

CIF file:
```
data_Ni11Ag3
_space_group_name_H-M_alt 'C 1 m 1'
_space_group_IT_number 8
_cell_length_a 11.717
_cell_length_b 6.060
_cell_length_c 6.042
_cell_angle_alpha 90.00
_cell_angle_beta 118.36
_cell_angle_gamma 90.00
loop_
_space_group_symop_operation_xyz
'x,y,z'
'x,-y,z'
'x+1/2,y+1/2,z'
'x+1/2,-y+1/2,z'
loop_
_atom_site_label
_atom_site_type_symbol
_atom_site_fract_x
_atom_site_fract_y
_atom_site_fract_z
Ni1 Ni 0.000 0.000 0.000
Ni2 Ni 0.034 0.500 0.223
Ni3 Ni 0.096 0.316 0.897
Ni4 Ni 0.196 0.215 0.315
Ni5 Ni 0.226 0.000 0.027
Ni6 Ni 0.365 0.302 0.150
Ni7 Ni 0.406 0.313 0.569
Ag1 Ag 0.086 0.000 0.525
Ag2 Ag 0.231 0.500 0.690
Ag3 Ag 0.352 0.000 0.777
```

Values from the calculation:
As for the density: 8.53 g cm⁻³. The value obtained for the formation energy is 427 meV per atom.

No. 5
This record from the Open Quantum Materials Database describes a relaxed structure of Lu4TlAuN2. The functional is PBE.

CIF file:
```
data_Lu4TlAuN2
_space_group_name_H-M_alt 'P -6 m 2'
_space_group_IT_number 187
_space_group_name_Hall 'P -6 2'
_cell_length_a 3.4339
_cell_length_b 3.4339
_cell_length_c 14.7592
_cell_angle_alpha 90.00
_cell_angle_beta 90.00
_cell_angle_gamma 120.00
loop_
_atom_site_label
_atom_site_type_symbol
_atom_site_fract_x
_atom_site_fract_y
_atom_site_fract_z
Lu1 Lu 0.0000 0.0000 0.1468
Lu2 Lu 0.3333 0.6667 0.3260
Tl1 Tl 0.0000 0.0000 0.5000
Au1 Au 0.3333 0.6667 0.0000
N1 N 0.6667 0.3333 0.2454
```

Values from the calculation:
As for the density: 12.44 g cm⁻³. As for the total energy: -6.177 eV per atom.

No. 6
This record from the Open Quantum Materials Database describes a relaxed structure of MgZrGaFe. The functional is PBE.

CIF file:
```
data_MgZrGaFe
_space_group_name_H-M_alt 'F -4 3 m'
_space_group_IT_number 216
_space_group_name_Hall 'F -4 2 3'
_cell_length_a 6.459
_cell_length_b 6.459
_cell_length_c 6.459
_cell_angle_alpha 90.00
_cell_angle_beta 90.00
_cell_angle_gamma 90.00
loop_
_atom_site_label
_atom_site_type_symbol
_atom_site_fract_x
_atom_site_fract_y
_atom_site_fract_z
Mg1 Mg 0.000 0.000 0.000
Zr1 Zr 0.250 0.250 0.250
Ga1 Ga 0.000 0.000 0.500
Fe1 Fe 0.250 0.250 0.750
```

Values from the calculation:
As for the density: 5.94 g cm⁻³. As for the total energy: -5.332 eV per atom.

No. 7
This record from the Open Quantum Materials Database describes a relaxed structure of La3Zr4. The functional is PBE.

CIF file:
```
data_La3Zr4
_space_group_name_H-M_alt 'P 63/m'
_space_group_IT_number 176
_space_group_name_Hall '-P 6c'
_cell_length_a 9.1606
_cell_length_b 9.1606
_cell_length_c 5.4245
_cell_angle_alpha 90.00
_cell_angle_beta 90.00
_cell_angle_gamma 120.00
loop_
_atom_site_label
_atom_site_type_symbol
_atom_site_fract_x
_atom_site_fract_y
_atom_site_fract_z
La1 La 0.0653 0.2665 0.2500
Zr1 Zr 0.1111 0.5130 0.7500
Zr2 Zr 0.3333 0.6667 0.2500
```

Values from the calculation:
As for the density: 6.58 g cm⁻³. The value obtained for the formation energy is 143 meV per atom.

No. 8
This record from the Open Quantum Materials Database describes a relaxed structure of Nd3CdPt8. The functional is PBE.

CIF file:
```
data_Nd3CdPt8
_space_group_name_H-M_alt 'R 3 m'
_space_group_IT_number 160
_space_group_name_Hall 'R 3 -2"'
_cell_length_a 5.4839
_cell_length_b 5.4839
_cell_length_c 26.9070
_cell_angle_alpha 90.00
_cell_angle_beta 90.00
_cell_angle_gamma 120.00
loop_
_atom_site_label
_atom_site_type_symbol
_atom_site_fract_x
_atom_site_fract_y
_atom_site_fract_z
Nd1 Nd 0.0000 0.0000 0.0000
Nd2 Nd 0.0000 0.0000 0.1283
Nd3 Nd 0.0000 0.0000 0.5127
Cd1 Cd 0.0000 0.0000 0.6347
Pt1 Pt 0.0000 0.0000 0.3177
Pt2 Pt 0.0000 0.0000 0.8179
Pt3 Pt 0.0002 0.5001 0.0685
Pt4 Pt 0.1681 0.3361 0.9008
```

Values from the calculation:
As for the density: 14.97 g cm⁻³. The value obtained for the formation energy is -940 meV per atom.

No. 9
This record from the Open Quantum Materials Database describes a relaxed structure of LiAgTe2PdS. The functional is PBE.

CIF file:
```
data_LiAgTe2PdS
_space_group_name_H-M_alt 'C m c m'
_space_group_IT_number 63
_space_group_name_Hall '-C 2c 2'
_cell_length_a 4.009
_cell_length_b 12.618
_cell_length_c 10.747
_cell_angle_alpha 90.00
_cell_angle_beta 90.00
_cell_angle_gamma 90.00
loop_
_atom_site_label
_atom_site_type_symbol
_atom_site_fract_x
_atom_site_fract_y
_atom_site_fract_z
Li1 Li 0.000 0.159 0.250
Ag1 Ag 0.000 0.087 0.750
Te1 Te 0.000 0.150 0.509
Pd1 Pd 0.000 0.500 0.000
S1 S 0.000 0.453 0.750
```

Values from the calculation:
As for the density: 6.21 g cm⁻³. As for the total energy: -3.675 eV per atom.

No. 10
This record from the Open Quantum Materials Database describes a relaxed structure of GaCoMoPt. The functional is PBE.

CIF file:
```
data_GaCoMoPt
_space_group_name_H-M_alt 'F -4 3 m'
_space_group_IT_number 216
_space_group_name_Hall 'F -4 2 3'
_cell_length_a 6.141
_cell_length_b 6.141
_cell_length_c 6.141
_cell_angle_alpha 90.00
_cell_angle_beta 90.00
_cell_angle_gamma 90.00
loop_
_atom_site_label
_atom_site_type_symbol
_atom_site_fract_x
_atom_site_fract_y
_atom_site_fract_z
Ga1 Ga 0.000 0.000 0.000
Co1 Co 0.250 0.250 0.250
Mo1 Mo 0.000 0.000 0.500
Pt1 Pt 0.250 0.250 0.750
```

Values from the calculation:
As for the density: 12.03 g cm⁻³. As for the total energy: -6.749 eV per atom.

No. 11
This record from the Open Quantum Materials Database describes a relaxed structure of NaZnP. The functional is PBE.

CIF file:
```
data_NaZnP
_space_group_name_H-M_alt 'C m c 21'
_space_group_IT_number 36
_cell_length_a 4.044
_cell_length_b 6.972
_cell_length_c 8.584
_cell_angle_alpha 90.00
_cell_angle_beta 90.00
_cell_angle_gamma 90.00
loop_
_space_group_symop_operation_xyz
'x,y,z'
'-x,-y,z+1/2'
'-x,y,z'
'x,-y,z+1/2'
'x+1/2,y+1/2,z'
'-x+1/2,-y+1/2,z+1/2'
'-x+1/2,y+1/2,z'
'x+1/2,-y+1/2,z+1/2'
loop_
_atom_site_label
_atom_site_type_symbol
_atom_site_fract_x
_atom_site_fract_y
_atom_site_fract_z
Na1 Na 0.000 0.002 0.000
Zn1 Zn 0.000 0.334 0.250
P1 P 0.000 0.332 0.749
```

Values from the calculation:
As for the density: 3.28 g cm⁻³. As for the total energy: -3.088 eV per atom.

No. 12
This record from the Open Quantum Materials Database describes a relaxed structure of Li2Nb2InSiOs2. The functional is PBE.

CIF file:
```
data_Li2Nb2InSiOs2
_space_group_name_H-M_alt 'P -4 m 2'
_space_group_IT_number 115
_cell_length_a 4.378
_cell_length_b 4.378
_cell_length_c 6.280
_cell_angle_alpha 90.00
_cell_angle_beta 90.00
_cell_angle_gamma 90.00
loop_
_space_group_symop_operation_xyz
'x,y,z'
'y,-x,-z'
'-x,-y,z'
'-y,x,-z'
'-x,y,z'
'-y,-x,-z'
'x,-y,z'
'y,x,-z'
loop_
_atom_site_label
_atom_site_type_symbol
_atom_site_fract_x
_atom_site_fract_y
_atom_site_fract_z
Li1 Li 0.000 0.500 0.237
Nb1 Nb 0.000 0.000 0.000
Nb2 Nb 0.500 0.500 0.500
In1 In 0.000 0.000 0.500
Si1 Si 0.500 0.500 0.000
Os1 Os 0.000 0.500 0.768
```

Values from the calculation:
As for the density: 9.98 g cm⁻³. As for the total energy: -7.092 eV per atom.

No. 13
This record from the Open Quantum Materials Database describes a relaxed structure of NbZn2Cu. The functional is PBE.

CIF file:
```
data_NbZn2Cu
_space_group_name_H-M_alt 'F m -3 m'
_space_group_IT_number 225
_space_group_name_Hall '-F 4 2 3'
_cell_length_a 6.157
_cell_length_b 6.157
_cell_length_c 6.157
_cell_angle_alpha 90.00
_cell_angle_beta 90.00
_cell_angle_gamma 90.00
loop_
_atom_site_label
_atom_site_type_symbol
_atom_site_fract_x
_atom_site_fract_y
_atom_site_fract_z
Nb1 Nb 0.000 0.000 0.000
Zn1 Zn 0.250 0.250 0.250
Cu1 Cu 0.000 0.000 0.500
```

Values from the calculation:
As for the density: 8.18 g cm⁻³. The value obtained for the formation energy is 114 meV per atom.